Record 1
## LaYMo2 (SCAN)

Data for LaYMo2 at its PBEsol-relaxed geometry.

Summary:
E_form: 79 kJ per mole of atoms
DOS at the Fermi energy: 1.1056 states/eV/atom
energy above the lowest structure with this stoichiometry: 86.4 meV/atom

abc: 4.086 4.086 9.945
angles: 90.00 90.00 90.00
Space group I4/mmm (No. 139)
One atom of each set of equivalent atoms:
La 0.000 0.000 0.000 [2 per cell]
Y 0.000 0.000 0.500 [2 per cell]
Mo 0.000 0.500 0.250 [4 per cell]



Record 2
## Ba2CaCd (SCAN)

Data for Ba2CaCd at its PBEsol-relaxed geometry.

Summary:
E_form: -17 kJ per mole of atoms
DOS at the Fermi energy: 1.0711 states/eV/atom

abc: 4.082 4.082 10.065
angles: 90.00 90.00 90.00
Space group P4mm (No. 99)
One atom of each set of equivalent atoms:
Ba 0.000 0.000 0.000 [1 per cell]
Ba 0.500 0.500 0.345 [1 per cell]
Ca 0.000 0.000 0.635 [1 per cell]
Cd 0.500 0.500 0.786 [1 per cell]



Record 3
## Y2Al2Ga (SCAN)

Data for Y2Al2Ga at its PBEsol-relaxed geometry.

Summary:
E_form: -53 kJ per mole of atoms
DOS at the Fermi energy: 0.5243 states/eV/atom

abc: 6.888 6.888 4.575
angles: 90.00 90.00 90.00
Space group P4/mbm (No. 127)
One atom of each set of equivalent atoms:
Y 0.170 0.330 0.000 [4 per cell]
Al 0.134 0.634 0.500 [4 per cell]
Ga 0.000 0.000 0.500 [2 per cell]



Record 4
## Ca2YSe (SCAN)

Data for Ca2YSe at its PBEsol-relaxed geometry.

Summary:
DOS at the Fermi energy: 0.7693 states/eV/atom
energy relative to the elements, uncorrected: -1.5 eV per formula unit
energy above the lowest structure with this stoichiometry: 470.9 meV/atom

abc: 3.942 5.195 5.390
angles: 90.00 90.00 90.00
Space group Pmmm (No. 47)
One atom of each set of equivalent atoms:
Ca 0.000 0.000 0.000 [1 per cell]
Ca 0.500 0.000 0.500 [1 per cell]
Y 0.000 0.500 0.500 [1 per cell]
Se 0.500 0.500 0.000 [1 per cell]